Density functional theory data (GGA-PBE) for an optimized crystal structure of Ba2Mg5Tl4.

Unit cell a=10.9239 b=9.8172 c=6.6141 alpha=80.79 beta=62.51 gamma=36.70
With the nearest neighbours (Å) after each atom.
Sites, in units of the cell vectors:
Ba (0.1335, 0.1335, 0.8665)  6 Tl 3.71-3.95, 10 Mg 3.95-4.13
Ba (0.8665, 0.8665, 0.1335)  6 Tl 3.71-3.95, 10 Mg 3.95-4.13
Mg (0.0000, 0.0000, 0.5000)  4 Tl 3.07, 4 Mg 3.22-3.31
Mg (0.2500, 0.2500, 0.2500)  4 Tl 2.97, 2 Mg 3.22
Mg (0.5000, 0.5000, 0.0000)  4 Tl 3.07, 4 Mg 3.22-3.31
Mg (0.5000, 0.5000, 0.5000)  4 Tl 3.00, 4 Mg 3.31
Mg (0.7500, 0.7500, 0.7500)  4 Tl 2.97, 2 Mg 3.22
Tl (0.2134, 0.5293, 0.4707)  5 Mg 2.97-3.07
Tl (0.4707, 0.7866, 0.2134)  5 Mg 2.97-3.07
Tl (0.5293, 0.2134, 0.7866)  5 Mg 2.97-3.07
Tl (0.7866, 0.4707, 0.5293)  5 Mg 2.97-3.07

Computed properties:
Space-group type: Fmmm, No. 69

---

Density functional theory data (GGA-PBE) for an optimized crystal structure of HoPaAgGe.

Unit cell a=5.0807 b=5.0807 c=5.0807 alpha=60.00 beta=60.00 gamma=60.00
With the nearest neighbours (Å) after each atom.
Sites, in units of the cell vectors:
Ho (0.0000, 0.0000, 0.0000)  4 Ge 3.11, 4 Ag 3.11
Pa (0.5000, 0.5000, 0.5000)  4 Ag 3.11, 4 Ge 3.11
Ag (0.7500, 0.7500, 0.7500)  4 Ho 3.11, 4 Pa 3.11
Ge (0.2500, 0.2500, 0.2500)  4 Pa 3.11, 4 Ho 3.11

Computed properties:
Space-group type: F-43m, No. 216

---

Density functional theory data (GGA-PBE) for an optimized crystal structure of AgTe2H.

Unit cell a=4.4297 b=6.2312 c=7.0150 alpha=90.31 beta=90.80 gamma=91.01
With the nearest neighbours (Å) after each atom.
Sites, in units of the cell vectors:
Ag (0.0000, 0.0000, 0.0000)  4 Te 2.76-2.82
Ag (0.3089, 0.0046, 0.4965)  4 Te 2.82-2.96
Te (0.4892, 0.7971, 0.1600)  1 H 2.37
Te (0.4969, 0.2032, 0.8409)  1 H 2.41
Te (0.9056, 0.3429, 0.3520)  1 H 1.75
Te (0.9203, 0.6565, 0.6478)  1 H 1.74
H (0.1838, 0.4939, 0.2359)  1 Te 1.75
H (0.2052, 0.5146, 0.7608)  1 Te 1.74

Computed properties:
Energy relative to the lowest polymorph listed for this composition (meV/atom): 0
Space-group type: P1, No. 1

---

Density functional theory data (GGA-PBE) for an optimized crystal structure of ZrBeHg2.

Unit cell a=6.4331 b=6.4331 c=6.4331 alpha=151.79 beta=141.37 gamma=48.52
With the nearest neighbours (Å) after each atom.
Sites, in units of the cell vectors:
Zr (0.0000, 0.0000, 0.0000)  2 Be 2.71, 4 Hg 3.04
Be (0.8111, 0.3111, 0.5000)  6 Hg 2.64-2.66, 2 Zr 2.71
Hg (0.3144, 0.8144, 0.5000)  4 Be 2.64
Hg (0.6281, 0.6281, 0.0000)  2 Be 2.66

Computed properties:
Space-group type: Imm2, No. 44

---

Density functional theory data (GGA-PBE) for an optimized crystal structure of CdAsW2.

Unit cell a=4.9621 b=4.9621 c=4.7154 alpha=94.46 beta=94.46 gamma=37.05
With the nearest neighbours (Å) after each atom.
Sites, in units of the cell vectors:
Cd (0.0000, 0.0000, 0.0000)  6 W 2.80-2.96, 4 As 2.84
As (0.5000, 0.5000, 0.5000)  2 W 2.63, 4 Cd 2.84
W (0.2574, 0.2574, 0.7400)  1 As 2.63, 4 W 2.75-2.93, 1 Cd 2.80
W (0.7426, 0.7426, 0.2600)  1 As 2.63, 4 W 2.75-2.93, 1 Cd 2.80

Computed properties:
Energy relative to the lowest polymorph listed for this composition (meV/atom): 315
Space-group type: C2/m, No. 12

---

Density functional theory data (GGA-PBE) for an optimized crystal structure of La6TmTl.

Unit cell a=6.6128 b=6.6128 c=6.4198 alpha=94.13 beta=94.13 gamma=100.03
With the nearest neighbours (Å) after each atom.
Sites, in units of the cell vectors:
La (0.0275, 0.6293, 0.2736)  5 La 3.42-3.76, 1 Tl 3.61, 1 Tm 3.72
La (0.1498, 0.1498, 0.2007)  1 Tl 3.36, 1 Tm 3.37, 7 La 3.41-3.67
La (0.3707, 0.9725, 0.7264)  5 La 3.42-3.76, 1 Tl 3.61, 1 Tm 3.72
La (0.6293, 0.0275, 0.2736)  5 La 3.42-3.76, 1 Tl 3.61, 1 Tm 3.72
La (0.8502, 0.8502, 0.7993)  1 Tl 3.36, 1 Tm 3.37, 7 La 3.41-3.67
La (0.9725, 0.3707, 0.7264)  5 La 3.42-3.76, 1 Tl 3.61, 1 Tm 3.72
Tm (0.5000, 0.5000, 0.0000)  2 Tl 3.21, 2 La 3.37
Tl (0.5000, 0.5000, 0.5000)  2 Tm 3.21, 2 La 3.36

Computed properties:
Energy relative to the lowest polymorph listed for this composition (meV/atom): 54
Space-group type: C2/m, No. 12

---

Density functional theory data (GGA-PBE) for an optimized crystal structure of Sm2Cu2Pd5Au.

Unit cell a=9.4056 b=9.4056 c=4.0055 alpha=90.00 beta=90.00 gamma=90.00
With the nearest neighbours (Å) after each atom.
Sites, in units of the cell vectors:
Sm (0.1796, 0.3204, 0.0000)  3 Cu 2.70-2.86
Sm (0.3204, 0.8204, 0.0000)  3 Cu 2.70-2.86
Sm (0.6796, 0.1796, 0.0000)  3 Cu 2.70-2.86
Sm (0.8204, 0.6796, 0.0000)  3 Cu 2.70-2.86
Cu (0.1176, 0.6176, 0.0000)  6 Pd 2.54-2.64, 1 Sm 2.70
Cu (0.3824, 0.1176, 0.0000)  6 Pd 2.54-2.64, 1 Sm 2.70
Cu (0.6176, 0.8824, 0.0000)  6 Pd 2.54-2.64, 1 Sm 2.70
Cu (0.8824, 0.3824, 0.0000)  6 Pd 2.54-2.64, 1 Sm 2.70
Pd (0.0000, 0.5000, 0.5000)  4 Cu 2.54, 4 Pd 2.82
Pd (0.0673, 0.7926, 0.5000)  2 Cu 2.64, 3 Pd 2.82-2.90, 2 Au 2.87
Pd (0.2074, 0.0673, 0.5000)  2 Cu 2.64, 3 Pd 2.82-2.90, 2 Au 2.87
Pd (0.2926, 0.5673, 0.5000)  2 Cu 2.64, 3 Pd 2.82-2.90, 2 Au 2.87
Pd (0.4327, 0.2926, 0.5000)  2 Cu 2.64, 3 Pd 2.82-2.90, 2 Au 2.87
Pd (0.5000, 0.0000, 0.5000)  4 Cu 2.54, 4 Pd 2.82
Pd (0.5673, 0.7074, 0.5000)  2 Cu 2.64, 3 Pd 2.82-2.90, 2 Au 2.87
Pd (0.7074, 0.4327, 0.5000)  2 Cu 2.64, 3 Pd 2.82-2.90, 2 Au 2.87
Pd (0.7926, 0.9327, 0.5000)  2 Cu 2.64, 3 Pd 2.82-2.90, 2 Au 2.87
Pd (0.9327, 0.2074, 0.5000)  2 Cu 2.64, 3 Pd 2.82-2.90, 2 Au 2.87
Au (0.0000, 0.0000, 0.0000)  8 Pd 2.87
Au (0.5000, 0.5000, 0.0000)  8 Pd 2.87

Computed properties:
Space-group type: P4/mbm, No. 127

---

Density functional theory data (GGA-PBE) for an optimized crystal structure of Sb2Pb.

Unit cell a=5.6288 b=5.6288 c=3.2233 alpha=90.00 beta=90.00 gamma=120.00
With the nearest neighbours (Å) after each atom.
Sites, in units of the cell vectors:
Sb (0.3333, 0.6667, 0.0000)  5 Sb 3.22-3.25
Sb (0.6667, 0.3333, 0.0000)  5 Sb 3.22-3.25
Pb (0.0000, 0.0000, 0.5000)  2 Pb 3.22

Computed properties:
Energy relative to the lowest polymorph listed for this composition (meV/atom): 65
Space-group type: P6/mmm, No. 191

---

Density functional theory data (GGA-PBE) for an optimized crystal structure of CeNd6Er5.

Unit cell a=9.5056 b=9.5056 c=9.5056 alpha=148.76 beta=115.82 gamma=73.11
With the nearest neighbours (Å) after each atom.
Sites, in units of the cell vectors:
Ce (0.0000, 0.0000, 0.0000)  8 Nd 3.57-3.59, 4 Er 3.60
Nd (0.0850, 0.8351, 0.2499)  1 Ce 3.57, 7 Er 3.57-3.61, 4 Nd 3.59-3.65
Nd (0.2487, 0.5000, 0.7487)  6 Er 3.57-3.61, 2 Ce 3.59, 4 Nd 3.59
Nd (0.4149, 0.1649, 0.2499)  1 Ce 3.57, 7 Er 3.57-3.61, 4 Nd 3.59-3.65
Nd (0.5851, 0.8351, 0.7501)  1 Ce 3.57, 7 Er 3.57-3.61, 4 Nd 3.59-3.65
Nd (0.7513, 0.5000, 0.2513)  6 Er 3.57-3.61, 2 Ce 3.59, 4 Nd 3.59
Nd (0.9150, 0.1649, 0.7501)  1 Ce 3.57, 7 Er 3.57-3.61, 4 Nd 3.59-3.65
Er (0.1661, 0.6661, 0.5000)  8 Nd 3.57-3.61, 2 Er 3.60, 2 Ce 3.60
Er (0.3321, 0.3321, 0.0000)  8 Nd 3.59-3.61, 4 Er 3.60-3.62
Er (0.5000, 0.0000, 0.5000)  8 Nd 3.57-3.60, 4 Er 3.62
Er (0.6679, 0.6679, 0.0000)  8 Nd 3.59-3.61, 4 Er 3.60-3.62
Er (0.8339, 0.3339, 0.5000)  8 Nd 3.57-3.61, 2 Er 3.60, 2 Ce 3.60

Computed properties:
Space-group type: Immm, No. 71

---

Density functional theory data (GGA-PBE) for an optimized crystal structure of Pm2ErTh3Bi6.

Unit cell a=10.2128 b=10.2128 c=9.1137 alpha=102.76 beta=102.76 gamma=25.87
With the nearest neighbours (Å) after each atom.
Sites, in units of the cell vectors:
Pm (0.1666, 0.1666, 0.3333)  6 Bi 3.22-3.24
Pm (0.8334, 0.8334, 0.6667)  6 Bi 3.22-3.24
Er (0.5000, 0.5000, 0.0000)  6 Bi 3.16-3.18
Th (0.1687, 0.1687, 0.8336)  6 Bi 3.23-3.26
Th (0.5000, 0.5000, 0.5000)  6 Bi 3.24-3.28
Th (0.8313, 0.8313, 0.1664)  6 Bi 3.23-3.26
Bi (0.0006, 0.0006, 0.7578)  2 Er 3.18, 1 Pm 3.24, 3 Th 3.26-3.28
Bi (0.3331, 0.3331, 0.4183)  3 Pm 3.22-3.23, 3 Th 3.23-3.24
Bi (0.3371, 0.3371, 0.9176)  1 Er 3.16, 2 Pm 3.22, 3 Th 3.24-3.26
Bi (0.6629, 0.6629, 0.0824)  1 Er 3.16, 2 Pm 3.22, 3 Th 3.24-3.26
Bi (0.6669, 0.6669, 0.5817)  3 Pm 3.22-3.23, 3 Th 3.23-3.24
Bi (0.9994, 0.9994, 0.2422)  2 Er 3.18, 1 Pm 3.24, 3 Th 3.26-3.28

Computed properties:
Space-group type: C2/m, No. 12

---

Density functional theory data (GGA-PBE) for an optimized crystal structure of TbSm6Y3Tm2.

Unit cell a=6.2193 b=6.2193 c=11.8079 alpha=95.02 beta=95.02 gamma=119.98
With the nearest neighbours (Å) after each atom.
Sites, in units of the cell vectors:
Tb (0.0000, 0.0000, 0.0000)  6 Sm 3.55-3.56, 6 Tm 3.59
Sm (0.0831, 0.4168, 0.2482)  2 Tm 3.55, 1 Tb 3.56, 3 Y 3.59, 6 Sm 3.59-3.60
Sm (0.2506, 0.2506, 0.7520)  1 Tb 3.55, 2 Tm 3.55, 3 Y 3.59, 6 Sm 3.59-3.60
Sm (0.4168, 0.0831, 0.2482)  2 Tm 3.55, 1 Tb 3.56, 3 Y 3.59, 6 Sm 3.59-3.60
Sm (0.5832, 0.9169, 0.7518)  2 Tm 3.55, 1 Tb 3.56, 3 Y 3.59, 6 Sm 3.59-3.60
Sm (0.7494, 0.7494, 0.2480)  1 Tb 3.55, 2 Tm 3.55, 3 Y 3.59, 6 Sm 3.59-3.60
Sm (0.9169, 0.5832, 0.7518)  2 Tm 3.55, 1 Tb 3.56, 3 Y 3.59, 6 Sm 3.59-3.60
Y (0.1668, 0.8332, 0.5000)  6 Sm 3.59, 6 Y 3.59
Y (0.5000, 0.5000, 0.5000)  6 Sm 3.59, 6 Y 3.59
Y (0.8332, 0.1668, 0.5000)  6 Sm 3.59, 6 Y 3.59
Tm (0.3334, 0.6666, 0.0000)  6 Sm 3.55, 3 Tm 3.59, 3 Tb 3.59
Tm (0.6666, 0.3334, 0.0000)  6 Sm 3.55, 3 Tm 3.59, 3 Tb 3.59

Computed properties:
Space-group type: C2/m, No. 12

---

Density functional theory data (GGA-PBE) for an optimized crystal structure of TlAgTe2.

Unit cell a=4.6935 b=4.6935 c=7.3573 alpha=90.00 beta=90.00 gamma=120.00
With the nearest neighbours (Å) after each atom.
Sites, in units of the cell vectors:
Tl (0.0000, 0.0000, 0.0000)  4 Te 2.89-3.01
Ag (0.6667, 0.3333, 0.4266)  3 Te 2.72
Te (0.0000, 0.0000, 0.3929)  3 Ag 2.72, 1 Tl 2.89
Te (0.3333, 0.6667, 0.8230)  3 Tl 3.01

Computed properties:
Space-group type: P3m1, No. 156

---

| no. | raw total energy (Ry/atom) | spin magnetization (μB per formula unit) |
| --- | --- | --- |
| 1 | -0.1538 | 0.0 |
| 2 | -0.4076 | 1.5 |
| 3 | -0.2202 | 0.0 |
| 4 | -0.2232 | 0.0 |
| 5 | -0.5305 | 0.0 |
| 6 | -0.3380 | 0.0 |
| 7 | -0.3887 | 0.0 |
| 8 | -0.2831 | 0.0 |
| 9 | -0.3485 | 1.1 |
| 10 | -0.4190 | 0.0 |
| 11 | -0.3742 | 0.0 |
| 12 | -0.2154 | 0.0 |